The following is a DFT calculation (PBE) of K3Dy3ScSe8 after structural relaxation.

The structure in POSCAR format:
```
K3Dy3ScSe8
1.0
4.100 2.367 7.886
-4.100 2.367 7.886
0.000 -4.734 7.886
K Dy Sc Se
3 3 1 8
Direct
0.000 0.500 0.500
0.500 0.000 0.500
0.500 0.500 0.000
0.000 0.000 0.500
0.000 0.500 0.000
0.500 0.000 0.000
0.500 0.500 0.500
0.235 0.235 0.235
0.244 0.727 0.727
0.273 0.273 0.756
0.273 0.756 0.273
0.727 0.244 0.727
0.727 0.727 0.244
0.756 0.273 0.273
0.765 0.765 0.765
```

Properties
DOS at the Fermi energy   8.3 states/eV per cell
Energy   -5.068 eV per atom

The following is a DFT calculation (PBE) of PuZrSn after structural relaxation.

The structure in POSCAR format:
```
PuZrSn
1.0
5.104 0.000 0.000
-2.552 4.420 0.000
0.000 0.000 3.323
Pu Zr Sn
1 1 1
Direct
0.000 0.000 0.000
0.333 0.667 0.571
0.667 0.333 0.432
```

Properties
Calculated formation energy   -0.093 eV/atom
DOS at the Fermi energy   7.3 states/eV per cell
E above lowest polymorph   257 meV per atom

The following is a DFT calculation (PBE) of LaReRu2 after structural relaxation.

The structure in POSCAR format:
```
LaReRu2
1.0
1.509 -2.408 0.000
1.509 2.408 0.000
0.000 0.000 9.497
La Re Ru
1 1 2
Direct
0.000 0.000 0.000
0.500 0.500 0.713
0.000 0.000 0.492
0.500 0.500 0.262
```

Properties
Calculated formation energy   0.662 eV/atom
DOS at the Fermi energy   6.1 states/eV per cell
E above lowest polymorph   526 meV per atom

The following is a DFT calculation (PBE) of CuAs2SeO after structural relaxation.

The structure in POSCAR format:
```
CuAs2SeO
1.0
4.261 0.000 0.000
0.000 4.261 0.000
0.000 0.000 4.736
Cu As Se O
1 2 1 1
Direct
0.000 0.000 0.000
0.000 0.500 0.500
0.500 0.000 0.500
0.500 0.500 0.000
0.500 0.500 0.500
```

Properties
DOS at the Fermi energy   2.6 states/eV per cell
E above lowest polymorph   0 meV per atom